This record from the Alexandria database describes Na2MnO4 at its PBEsol-relaxed geometry. The functional is meta-GGA SCAN.

Summary:
Space group: No. 186
Crystal system: hexagonal

The structure in POSCAR format:
```
Na2MnO4
1.0
5.732 0.000 0.000
-2.866 4.964 0.000
0.000 0.000 6.670
Na Mn O
4 2 8
Direct
0.333 0.667 0.396
0.667 0.333 0.896
0.000 0.000 0.508
0.000 0.000 0.008
0.333 0.667 0.831
0.667 0.333 0.331
0.177 0.823 0.745
0.823 0.646 0.245
0.354 0.177 0.245
0.646 0.823 0.745
0.177 0.354 0.745
0.823 0.177 0.245
0.667 0.333 0.572
0.333 0.667 0.072
```

=====

This record from the Alexandria database describes CdIn5 at its PBEsol-relaxed geometry. The functional is meta-GGA SCAN.

Summary:
Space group: No. 8
Crystal system: monoclinic
Formation enthalpy at 0 K, eV per atom: 0.09

The structure in POSCAR format:
```
CdIn5
1.0
3.325 0.000 0.000
-1.663 5.960 -0.119
0.000 -2.187 7.541
In Cd
5 1
Direct
0.327 0.653 0.662
0.660 0.319 0.316
0.611 0.222 0.737
0.948 0.897 0.399
0.289 0.578 0.062
0.999 0.998 0.991
```

=====

This record from the Alexandria database describes ZnInH14O7F5 at its PBEsol-relaxed geometry. The functional is meta-GGA SCAN.

Summary:
Space group: No. 2
Crystal system: triclinic

The structure in POSCAR format:
```
ZnInH14O7F5
1.0
6.539 -0.029 0.007
-1.028 8.859 -0.072
-1.223 -2.206 8.592
Zn In H O F
2 2 28 14 10
Direct
0.500 0.500 0.000
0.500 0.000 0.500
0.000 0.500 0.500
0.000 0.000 0.000
0.561 0.538 0.314
0.439 0.462 0.686
0.316 0.523 0.252
0.684 0.477 0.748
0.244 0.061 0.695
0.756 0.939 0.305
0.455 0.176 0.782
0.545 0.824 0.218
0.469 0.200 0.018
0.531 0.800 0.982
0.703 0.249 0.985
0.297 0.751 0.015
0.905 0.559 0.163
0.095 0.441 0.837
0.099 0.352 0.971
0.901 0.648 0.029
0.891 0.059 0.663
0.109 0.941 0.337
0.159 0.773 0.360
0.841 0.227 0.640
0.609 0.852 0.731
0.391 0.148 0.269
0.621 0.733 0.565
0.379 0.267 0.435
0.109 0.798 0.694
0.891 0.202 0.306
0.322 0.741 0.638
0.678 0.259 0.362
0.372 0.119 0.675
0.628 0.881 0.325
0.198 0.889 0.402
0.802 0.111 0.598
0.540 0.814 0.618
0.460 0.186 0.382
0.552 0.261 0.960
0.448 0.739 0.040
0.449 0.492 0.222
0.551 0.508 0.778
0.185 0.429 0.930
0.815 0.571 0.070
0.177 0.703 0.661
0.823 0.297 0.339
0.731 0.602 0.477
0.269 0.398 0.523
0.100 0.581 0.313
0.900 0.419 0.687
0.936 0.222 0.007
0.064 0.778 0.993
0.313 0.092 0.088
0.687 0.908 0.912
0.044 0.967 0.764
0.956 0.033 0.236
```

=====

This record from the Alexandria database describes CaTeAu at its PBEsol-relaxed geometry. The functional is meta-GGA SCAN.

Summary:
Space group: No. 216
Crystal system: cubic

The structure in POSCAR format:
```
CaTeAu
1.0
4.856 0.000 0.000
2.428 4.206 0.000
2.428 1.402 3.965
Ca Te Au
1 1 1
Direct
0.000 0.000 0.000
0.500 0.500 0.500
0.250 0.250 0.250
```

=====

Number 1: theoretical density 2.89 Mg/m³, raw total energy -9.06 eV/atom. Number 2: theoretical density 7.67 Mg/m³, raw total energy -32.80 eV/atom. Number 3: theoretical density 2.68 Mg/m³, raw total energy -7.05 eV/atom. Number 4: theoretical density 7.48 Mg/m³, raw total energy -39.56 eV/atom.